Entry 1:
A geometry-optimized La3YNb structure. Source: Alexandria via LeMat-Bulk, functional PBE.

## Properties
**Magnetic moment**: 0.00 Bohr magnetons per cell
**E_tot**: -5.856 eV per atom
**Formation enthalpy at 0 K**: 0.407 eV/atom
**SG**: Pm-3m, No. 221

```
La3YNb
1.0
5.654 0.000 0.000
0.000 5.654 0.000
0.000 0.000 5.654
Y Nb La
1 1 3
direct
0.500 0.500 0.500
0.000 0.000 0.000
0.000 0.500 0.000
0.000 0.000 0.500
0.500 0.000 0.000
```

***

Entry 2:
A geometry-optimized La2NbZn structure. Source: Alexandria via LeMat-Bulk, functional PBE.

## Properties
**Magnetic moment**: 1.99 Bohr magnetons per cell
**E_tot**: -4.841 eV per atom
**Formation enthalpy at 0 K**: 0.459 eV/atom
**SG**: I-42d, No. 122

```
La2NbZn
1.0
8.266 0.000 0.000
0.000 8.266 0.000
4.133 4.133 3.086
Nb Zn La
2 2 4
direct
0.000 0.000 0.000
0.750 0.250 0.500
0.500 0.500 0.000
0.250 0.750 0.500
0.626 0.125 0.250
0.124 0.625 0.250
0.375 0.374 0.750
0.875 0.876 0.750
```

***

Entry 3:
A geometry-optimized LaNbZn3 structure. Source: Alexandria via LeMat-Bulk, functional PBE.

## Properties
**Magnetic moment**: 0.00 Bohr magnetons per cell
**E_tot**: -2.107 eV per atom
**Formation enthalpy at 0 K**: 1.657 eV/atom
**SG**: Pm-3m, No. 221

```
LaNbZn3
1.0
5.211 0.000 0.000
0.000 5.211 0.000
0.000 0.000 5.211
Nb Zn La
1 3 1
direct
0.500 0.500 0.500
0.000 0.500 0.000
0.000 0.000 0.500
0.500 0.000 0.000
0.000 0.000 0.000
```

***

Which value of E_tot does entry 3 give?
-2.107 eV per atom

***

Please write out number 3 again, unchanged.
A geometry-optimized LaNbZn3 structure. Source: Alexandria via LeMat-Bulk, functional PBE.

## Properties
**Magnetic moment**: 0.00 Bohr magnetons per cell
**E_tot**: -2.107 eV per atom
**Formation enthalpy at 0 K**: 1.657 eV/atom
**SG**: Pm-3m, No. 221

```
LaNbZn3
1.0
5.211 0.000 0.000
0.000 5.211 0.000
0.000 0.000 5.211
Nb Zn La
1 3 1
direct
0.500 0.500 0.500
0.000 0.500 0.000
0.000 0.000 0.500
0.500 0.000 0.000
0.000 0.000 0.000
```